1.
The following is a PBE calculation of an optimized crystal structure of NdRh2Pb, from Alexandria via LeMat-Bulk.

```
NdRh2Pb
1.0
4.628 0.000 0.000
0.000 4.628 0.000
0.000 0.000 3.793
Nd Rh Pb
1 2 1
direct
0.000 0.000 0.000
0.000 0.500 0.500
0.500 0.000 0.500
0.500 0.500 0.000
```

Values from the calculation:
**Formation energy**: -0.445 eV/atom

***

2.
The following is a PBE calculation of an optimized crystal structure of Nb3ZnAu, from Alexandria via LeMat-Bulk.

```
Nb3ZnAu
1.0
4.970 0.000 0.000
0.000 4.970 0.000
0.000 0.000 4.970
Nb Zn Au
3 1 1
direct
0.000 0.000 0.500
0.000 0.500 0.000
0.500 0.000 0.000
0.500 0.500 0.500
0.000 0.000 0.000
```

Values from the calculation:
**Formation energy**: 1.560 eV/atom

***

3.
The following is a PBE calculation of an optimized crystal structure of MoPt2Se, from Alexandria via LeMat-Bulk.

```
MoPt2Se
1.0
2.844 0.000 0.000
-1.422 2.463 0.000
0.000 0.000 28.524
Mo Pt Se
3 6 3
direct
0.000 0.000 0.000
0.333 0.667 0.667
0.667 0.333 0.333
0.000 0.000 0.256
0.000 0.000 0.744
0.333 0.667 0.410
0.333 0.667 0.923
0.667 0.333 0.077
0.667 0.333 0.590
0.000 0.000 0.500
0.333 0.667 0.167
0.667 0.333 0.833
```

Values from the calculation:
**Formation energy (no corrections)**: 0.055 eV per atom